1.
First-principles (GGA-PBEsol) data for a geometry-optimized Ba2W2F11 structure, as listed in Alexandria.

Calculated values
ΔE_f (raw) = -2.70 eV/atom
Fermi-level density of states = 0.40 states/eV per atom
theoretical density = 5.55 g cm⁻³
DFT total energy = -93.67 eV per formula unit

a = 8.2022 Å, b = 8.2022 Å, c = 13.1185 Å
α = 90.00°, β = 90.00°, γ = 120.00°
Positions (direct):
Ba (0.3437, 0.5903, 0.3493)
Ba (0.8543, 0.1264, 0.1863)
Ba (0.4097, 0.7533, 0.0160)
Ba (0.2721, 0.1457, 0.5196)
Ba (0.8736, 0.7279, 0.8529)
Ba (0.2467, 0.6563, 0.6826)
W (0.4405, 0.2697, 0.1089)
W (0.1372, 0.8674, 0.2712)
W (0.7302, 0.8628, 0.6046)
W (0.7303, 0.1708, 0.7756)
W (0.1326, 0.2698, 0.9379)
W (0.8292, 0.5595, 0.4423)
F (0.4237, 0.3903, 0.9729)
F (0.4912, 0.0981, 0.0276)
F (0.6097, 0.0334, 0.6396)
F (0.6543, 0.3034, 0.4911)
F (0.5318, 0.9308, 0.8347)
F (0.1449, 0.6734, 0.8726)
F (0.6492, 0.3457, 0.8244)
F (0.5285, 0.8551, 0.2060)
F (0.0692, 0.6010, 0.5014)
F (0.8770, 0.2452, 0.9081)
F (0.6966, 0.3508, 0.1578)
F (0.9666, 0.5763, 0.3063)
F (0.7644, 0.8712, 0.9921)
F (0.0954, 0.4180, 0.0483)
F (0.1288, 0.8931, 0.6588)
F (0.6068, 0.5088, 0.3609)
F (0.1528, 0.1438, 0.0719)
F (0.7548, 0.6318, 0.5748)
F (0.9299, 0.0953, 0.5443)
F (0.1069, 0.2356, 0.3254)
F (0.9047, 0.8346, 0.2110)
F (0.3227, 0.9046, 0.3816)
F (0.5820, 0.6773, 0.7150)
F (0.8562, 0.0089, 0.7385)
F (0.3682, 0.1230, 0.2414)
F (0.3990, 0.4682, 0.1681)
F (0.9019, 0.3932, 0.6942)
F (0.1876, 0.8124, 0.1346)
F (0.1876, 0.3753, 0.8013)
F (0.1654, 0.0701, 0.8776)
F (0.3266, 0.4715, 0.5393)
F (0.9911, 0.8472, 0.4052)
F (0.6247, 0.8124, 0.4679)


2.
First-principles (GGA-PBEsol) data for a geometry-optimized CaPtIO2 structure, as listed in Alexandria.

Calculated values
ΔE_f (raw) = -0.02 eV/atom
Fermi-level density of states = 1.27 states/eV per atom
theoretical density = 5.97 g cm⁻³
DFT total energy = -21.45 eV per formula unit

a = 4.1190 Å, b = 4.1190 Å, c = 6.4609 Å
α = 90.00°, β = 90.00°, γ = 90.00°
Positions (direct):
I (0.0000, 0.0000, 0.5000)
Ca (0.0000, 0.0000, 0.0000)
O (0.0000, 0.5000, 0.0000)
O (0.5000, 0.0000, 0.0000)
Pt (0.5000, 0.5000, 0.5000)


3.
First-principles (GGA-PBEsol) data for a geometry-optimized Cr3Tc structure, as listed in Alexandria.

Calculated values
Fermi-level density of states = 1.04 states/eV per atom
theoretical density = 8.83 g cm⁻³
formation enthalpy at 0 K = 23 kJ/mol of formula units
DFT total energy = -41.76 eV per formula unit

a = 2.8858 Å, b = 4.0687 Å, c = 4.0687 Å
α = 90.00°, β = 90.00°, γ = 90.00°
Positions (direct):
Cr (0.0000, 0.0000, 0.0000)
Cr (0.5000, 0.0000, 0.5000)
Cr (0.5000, 0.5000, 0.0000)
Tc (0.0000, 0.5000, 0.5000)


4.
First-principles (GGA-PBEsol) data for a geometry-optimized BaCd3Ga structure, as listed in Alexandria.

Calculated values
Fermi-level density of states = 0.55 states/eV per atom
theoretical density = 7.05 g cm⁻³
formation enthalpy at 0 K = -153 kJ/mol of formula units
DFT total energy = -10.67 eV per formula unit

a = 4.7329 Å, b = 4.7329 Å, c = 6.6284 Å
α = 110.92°, β = 110.92°, γ = 90.00°
Positions (direct):
Ba (0.9965, 0.9965, 0.9930)
Ga (0.3789, 0.3789, 0.7579)
Cd (0.2563, 0.7563, 0.5125)
Cd (0.7563, 0.2563, 0.5125)
Cd (0.6120, 0.6120, 0.2240)


5.
First-principles (GGA-PBEsol) data for a geometry-optimized Ge2Se2Br structure, as listed in Alexandria.

Calculated values
ΔE_f (raw) = -0.11 eV/atom
Fermi-level density of states = 0.37 states/eV per atom
theoretical density = 5.44 g cm⁻³
DFT total energy = -19.99 eV per formula unit

a = 4.4049 Å, b = 4.4049 Å, c = 6.7844 Å
α = 108.94°, β = 108.94°, γ = 90.00°
Positions (direct):
Ge (0.3764, 0.3764, 0.7527)
Ge (0.6236, 0.6236, 0.2473)
Se (0.2500, 0.7500, 0.5000)
Se (0.7500, 0.2500, 0.5000)
Br (0.0000, 0.0000, 0.0000)


6.
First-principles (GGA-PBEsol) data for a geometry-optimized ZrCu2Ir structure, as listed in Alexandria.

Calculated values
Fermi-level density of states = 0.42 states/eV per atom
theoretical density = 11.92 g cm⁻³
formation enthalpy at 0 K = -156 kJ/mol of formula units
DFT total energy = -29.20 eV per formula unit

a = 3.7921 Å, b = 3.7921 Å, c = 4.7967 Å
α = 113.28°, β = 113.28°, γ = 90.00°
Positions (direct):
Ir (0.5000, 0.5000, 0.0000)
Cu (0.7500, 0.2500, 0.5000)
Cu (0.2500, 0.7500, 0.5000)
Zr (0.0000, 0.0000, 0.0000)


7.
First-principles (GGA-PBEsol) data for a geometry-optimized CeBiAu2 structure, as listed in Alexandria.

Calculated values
Fermi-level density of states = 1.29 states/eV per atom
theoretical density = 13.54 g cm⁻³
formation enthalpy at 0 K = -210 kJ/mol of formula units
DFT total energy = -20.91 eV per formula unit

a = 5.0509 Å, b = 5.0509 Å, c = 5.0509 Å
α = 60.00°, β = 60.00°, γ = 60.00°
Positions (direct):
Au (0.7500, 0.7500, 0.7500)
Au (0.2500, 0.2500, 0.2500)
Bi (0.5000, 0.5000, 0.5000)
Ce (0.0000, 0.0000, 0.0000)


8.
First-principles (GGA-PBEsol) data for a geometry-optimized AlAu3 structure, as listed in Alexandria.

Calculated values
Fermi-level density of states = 0.24 states/eV per atom
theoretical density = 15.67 g cm⁻³
formation enthalpy at 0 K = -102 kJ/mol of formula units
DFT total energy = -16.92 eV per formula unit

a = 3.5874 Å, b = 4.2224 Å, c = 5.1352 Å
α = 114.28°, β = 110.44°, γ = 90.00°
Positions (direct):
Au (0.5000, 0.5000, 0.0000)
Au (0.7246, 0.2246, 0.4493)
Au (0.2754, 0.7754, 0.5507)
Al (0.0000, 0.0000, 0.0000)


What is the formula in the seventh record? CeBiAu2


Which of these has the highest theoretical density? AlAu3


Which value of theoretical density does entry 3 give? 8.83 g cm⁻³